# GaH2W

An optimized crystal structure of GaH2W (PBE, Alexandria via LeMat-Bulk).

Cell and atoms, written as CIF:
```
data_GaH2W
_cell_length_a 5.489
_cell_length_b 5.489
_cell_length_c 5.331
_cell_angle_alpha 90.00
_cell_angle_beta 90.00
_cell_angle_gamma 90.00
_symmetry_space_group_name_H-M 'I -4 2 d'
_symmetry_Int_Tables_number 122
_symmetry_space_group_name_Hall 'I -4 2bw'
loop_
_atom_site_label
_atom_site_type_symbol
_atom_site_fract_x
_atom_site_fract_y
_atom_site_fract_z
_atom_site_occupancy
Ga1 Ga 0.000 0.000 0.000 1
H1 H 0.180 0.750 0.625 1
W1 W 0.000 0.000 0.500 1
```


# GaH2W

An optimized crystal structure of GaH2W (PBE, Alexandria via LeMat-Bulk).

Cell and atoms, written as CIF:
```
data_GaH2W
_cell_length_a 3.0201
_cell_length_b 3.0201
_cell_length_c 15.2890
_cell_angle_alpha 90.00
_cell_angle_beta 90.00
_cell_angle_gamma 120.00
_symmetry_space_group_name_H-M 'R 3 m'
_symmetry_Int_Tables_number 160
_symmetry_space_group_name_Hall 'R 3 -2"'
loop_
_atom_site_label
_atom_site_type_symbol
_atom_site_fract_x
_atom_site_fract_y
_atom_site_fract_z
_atom_site_occupancy
Ga1 Ga 0.0000 0.0000 0.0000 1
H1 H 0.0000 0.0000 0.2080 1
H2 H 0.0000 0.0000 0.4406 1
W1 W 0.0000 0.0000 0.8189 1
```


no.,E_tot (eV per atom),energy above the lowest structure with this stoichiometry (meV/atom)
1,-5.333,73
2,-5.407,0